DFT (PBE-GGA) results for NaIO2F after structural relaxation.

E_form (uncorrected)   0.0719 eV per atom
SG   P4/mmm (123)

Cell lengths 4.2161, 4.2161, 3.9026 Å; angles 90.00, 90.00, 90.00 degrees
Atoms (fractional coordinates):
Na  0.0000  0.0000  0.0000
I  0.5000  0.5000  0.5000
O  0.0000  0.5000  0.0000
O  0.5000  0.0000  0.0000
F  0.0000  0.0000  0.5000

DFT (PBE-GGA) results for LiDyAg2 after structural relaxation.

Energy above the most stable polymorph in this dataset   0 meV/atom
SG   Pmmn (59)
Energy of formation   -0.230 eV/atom

Cell lengths 4.8145, 6.5442, 5.2393 Å; angles 90.00, 90.00, 90.00 degrees
Atoms (fractional coordinates):
Li  0.2500  0.2500  0.2479
Li  0.7500  0.7500  0.7521
Dy  0.2500  0.7500  0.1707
Dy  0.7500  0.2500  0.8293
Ag  0.2500  0.5081  0.6739
Ag  0.2500  0.9919  0.6739
Ag  0.7500  0.0081  0.3261
Ag  0.7500  0.4919  0.3261

DFT (PBE-GGA) results for K2AgPt after structural relaxation.

Energy above the most stable polymorph in this dataset   139 meV/atom
SG   F-43m (216)
Energy of formation   0.160 eV/atom

Cell lengths 7.4232, 7.4232, 7.4232 Å; angles 90.00, 90.00, 90.00 degrees
Atoms (fractional coordinates):
K  0.0000  0.0000  0.0000
K  0.0000  0.5000  0.5000
K  0.2500  0.2500  0.2500
K  0.2500  0.7500  0.7500
K  0.5000  0.0000  0.5000
K  0.5000  0.5000  0.0000
K  0.7500  0.2500  0.7500
K  0.7500  0.7500  0.2500
Ag  0.0000  0.0000  0.5000
Ag  0.0000  0.5000  0.0000
Ag  0.5000  0.0000  0.0000
Ag  0.5000  0.5000  0.5000
Pt  0.2500  0.2500  0.7500
Pt  0.2500  0.7500  0.2500
Pt  0.7500  0.2500  0.2500
Pt  0.7500  0.7500  0.7500

DFT (PBE-GGA) results for MnCo2HRh after structural relaxation.

Energy above the most stable polymorph in this dataset   0 meV/atom
SG   P4/mmm (123)

Cell lengths 3.6373, 3.6373, 3.7160 Å; angles 90.00, 90.00, 90.00 degrees
Atoms (fractional coordinates):
Mn  0.0000  0.0000  0.0000
Co  0.0000  0.5000  0.5000
Co  0.5000  0.0000  0.5000
H  0.0000  0.0000  0.5000
Rh  0.5000  0.5000  0.0000

DFT (PBE-GGA) results for La2InF2 after structural relaxation.

E_form (uncorrected)   -2.4019 eV per atom
SG   I4/mmm (139)

Cell lengths 3.9798, 3.9798, 14.4469 Å; angles 90.00, 90.00, 90.00 degrees
Atoms (fractional coordinates):
La  0.0000  0.0000  0.1384
La  0.0000  0.0000  0.8616
La  0.5000  0.5000  0.3616
La  0.5000  0.5000  0.6384
In  0.0000  0.0000  0.5000
In  0.5000  0.5000  0.0000
F  0.0000  0.5000  0.2500
F  0.0000  0.5000  0.7500
F  0.5000  0.0000  0.2500
F  0.5000  0.0000  0.7500

DFT (PBE-GGA) results for Th3CoSn after structural relaxation.

Energy above the most stable polymorph in this dataset   30 meV/atom
SG   Pm-3m (221)
Energy of formation   -0.267 eV/atom

Cell lengths 5.2673, 5.2673, 5.2673 Å; angles 90.00, 90.00, 90.00 degrees
Atoms (fractional coordinates):
Th  0.0000  0.0000  0.5000
Th  0.0000  0.5000  0.0000
Th  0.5000  0.0000  0.0000
Co  0.0000  0.0000  0.0000
Sn  0.5000  0.5000  0.5000

no.,energy (eV/atom)
1,-2.86
2,-3.28
3,-2.61
4,-6.80
5,-5.67
6,-6.94